The following is a DFT calculation (PBE) of an optimized crystal structure of HfScRu.

The energy comes out at -8.805 eV per atom.

It has space group F-43m (No. 216), with a = 6.3478 Å, b = 6.3478 Å, c = 6.3478 Å, α = 90.00°, β = 90.00° and γ = 90.00°. Symmetry generates all atoms from Hf at (0.0000, 0.0000, 0.0000), Sc at (0.0000, 0.0000, 0.5000) and Ru at (0.2500, 0.2500, 0.2500).